First-principles (PBE-GGA) data for crystalline Pm4DyTl2 at its relaxed geometry, as listed in the Alexandria database.

a = 6.833 Å, b = 10.698 Å, c = 6.215 Å
α = 90.00°, β = 97.04°, γ = 90.00°
Space group C2/m (No. 12)
Symmetry-distinct sites (fractional):
Pm (0.000, 0.212, 0.000)
Pm (0.250, 0.250, 0.500)
Dy (0.000, 0.000, 0.500)
Tl (0.081, 0.500, 0.767)

Computed properties:
mass density	8.48	g cm⁻³
DFT total energy	-3.9684	eV/atom
D(E_F)	20.20	states/eV per cell